{"formula": "Pu8MnSi2", "functional": "PBE-GGA", "state": "relaxed", "e_form_raw_ev_per_atom": -0.09, "magmom_total_mub_per_fu": 0.316, "crystal_system": "monoclinic", "space_group": "C2/m (12)", "cell": [[4.7749, 0.0000, -1.4436], [-0.5791, 5.8168, -1.9155], [-0.3606, -0.1277, 7.4256]], "species": ["Pu", "Pu", "Pu", "Pu", "Pu", "Pu", "Pu", "Pu", "Si", "Si", "Mn"], "frac_coords": [[0.3900, 0.5638, 0.7801], [0.6590, 0.8724, 0.3180], [0.3410, 0.1276, 0.6820], [0.9965, 0.7350, 0.9930], [0.8464, 0.8784, 0.6929], [0.6100, 0.4362, 0.2199], [0.0035, 0.2650, 0.0070], [0.1536, 0.1216, 0.3071], [0.1965, 0.6597, 0.3931], [0.8035, 0.3403, 0.6069], [0.5000, 0.0000, 0.0000]]}